{
  "formula": "TaRe2Au",
  "functional": "PBE",
  "state": "relaxed",
  "e_above_lowest_polymorph_ev_per_atom": 0.115,
  "space_group": "Cm, No. 8",
  "formation_enthalpy_0k_ev_per_atom": 0.18,
  "lattice": [[4.9008, -0.0073, 0.0186], [4.0024, 2.8282, 0.0186], [0.9361, 0.2966, 4.7057]],
  "species": ["Au", "Re", "Re", "Ta"],
  "frac_coords": [[0.2522, 0.2522, 0.2542], [0.7454, 0.7454, 0.7684], [0.0059, 0.0059, 0.9803], [0.4965, 0.4965, 0.4971]]
}

---

{
  "formula": "OsPb",
  "functional": "PBE",
  "state": "relaxed",
  "space_group": "P4/nmm, No. 129",
  "formation_enthalpy_0k_ev_per_atom": 0.76,
  "lattice": [[3.6545, 0.0000, 0.0000], [0.0000, 3.6545, 0.0000], [0.0000, 0.0000, 7.4777]],
  "species": ["Os", "Os", "Pb", "Pb"],
  "frac_coords": [[0.2500, 0.7500, 0.0000], [0.7500, 0.2500, 0.0000], [0.7500, 0.7500, 0.6933], [0.2500, 0.2500, 0.3067]]
}

---

{
  "formula": "PrErCdGe",
  "functional": "PBE",
  "state": "relaxed",
  "space_group": "F-43m, No. 216",
  "formation_enthalpy_0k_ev_per_atom": -0.46,
  "lattice": [[-1.4722, 4.9481, 0.8391], [-3.9842, 2.0379, -2.7070], [-4.5416, 1.0076, 2.3903]],
  "species": ["Er", "Pr", "Cd", "Ge"],
  "frac_coords": [[0.0000, 0.0000, 0.0000], [0.5000, 0.5000, 0.5000], [0.7500, 0.7500, 0.7500], [0.2500, 0.2500, 0.2500]]
}

---

{
  "formula": "Pr2Ho3S4",
  "functional": "PBE",
  "state": "relaxed",
  "formation_energy_uncorrected_ev_per_atom": -1.760,
  "space_group": "C2/m, No. 12",
  "lattice": [[3.7944, 0.0000, 0.9334], [1.6733, 6.4126, 1.3767], [-0.1816, 0.5964, 8.9177]],
  "species": ["S", "S", "S", "S", "Ho", "Ho", "Ho", "Pr", "Pr"],
  "frac_coords": [[0.6049, 0.6979, 0.0922], [0.8024, 0.1079, 0.2874], [0.1976, 0.8921, 0.7126], [0.3951, 0.3021, 0.9078], [0.0000, 0.0000, 0.0000], [0.2049, 0.3955, 0.1947], [0.7951, 0.6045, 0.8053], [0.4009, 0.7937, 0.4045], [0.5991, 0.2063, 0.5955]]
}

---

{
  "formula": "CrNiSbPd",
  "functional": "PBE",
  "state": "relaxed",
  "formation_energy_uncorrected_ev_per_atom": -0.049,
  "space_group": "F-43m, No. 216",
  "lattice": [[4.4520, 0.0000, 0.0000], [2.2260, 3.8556, 0.0000], [2.2260, 1.2852, 3.6351]],
  "species": ["Ni", "Sb", "Cr", "Pd"],
  "frac_coords": [[0.2500, 0.2500, 0.2500], [0.0000, 0.0000, 0.0000], [0.5000, 0.5000, 0.5000], [0.7500, 0.7500, 0.7500]]
}

---

{
  "formula": "Cr3GaSn",
  "functional": "PBE",
  "state": "relaxed",
  "e_above_lowest_polymorph_ev_per_atom": 0.000,
  "space_group": "Pm-3m, No. 221",
  "formation_enthalpy_0k_ev_per_atom": 0.91,
  "lattice": [[-2.7194, -3.5375, -1.1636], [0.4195, -1.7227, 4.2566], [-3.7002, 2.4045, 1.3377]],
  "species": ["Sn", "Ga", "Cr", "Cr", "Cr"],
  "frac_coords": [[0.5000, 0.5000, 0.5000], [0.0000, 0.0000, 0.0000], [0.5000, 0.0000, 0.0000], [0.0000, 0.0000, 0.5000], [0.0000, 0.5000, 0.0000]]
}

---

{
  "formula": "KTaH",
  "functional": "PBE",
  "state": "relaxed",
  "e_above_lowest_polymorph_ev_per_atom": 0.000,
  "space_group": "P-1, No. 2",
  "lattice": [[-1.3369, 1.3494, 2.2051], [2.3717, -1.5185, 2.3673], [8.0471, 8.1557, -2.8850]],
  "species": ["Ta", "Ta", "K", "K", "H", "H"],
  "frac_coords": [[0.2998, 0.2507, 0.5698], [0.7002, 0.7493, 0.4302], [0.4869, 0.7534, 0.8255], [0.5131, 0.2466, 0.1745], [0.8921, 0.2521, 0.6974], [0.1079, 0.7479, 0.3026]]
}

---

{
  "formula": "LaMgCl",
  "functional": "PBE",
  "state": "relaxed",
  "e_above_lowest_polymorph_ev_per_atom": 0.720,
  "formation_energy_uncorrected_ev_per_atom": -0.281,
  "space_group": "F-43m, No. 216",
  "lattice": [[-0.9768, -2.8072, -4.2167], [-3.1310, -4.0898, 0.2922], [-4.6708, 0.1659, -2.1843]],
  "species": ["Mg", "Cl", "La"],
  "frac_coords": [[0.0000, 0.0000, 0.0000], [0.5000, 0.5000, 0.5000], [0.2500, 0.2500, 0.2500]]
}

---

{
  "formula": "CeCd2Bi2",
  "functional": "PBE",
  "state": "relaxed",
  "space_group": "Cmcm, No. 63",
  "formation_enthalpy_0k_ev_per_atom": -0.35,
  "lattice": [[-2.4138, -1.9121, 3.4413], [0.5651, -4.1319, -1.8994], [12.1262, -0.6590, 5.0408]],
  "species": ["Bi", "Bi", "Bi", "Bi", "Cd", "Cd", "Cd", "Cd", "Ce", "Ce"],
  "frac_coords": [[0.8677, 0.7500, 0.7354], [0.1323, 0.2500, 0.2646], [0.7501, 0.2500, 0.5002], [0.2499, 0.7500, 0.4998], [0.4612, 0.7500, 0.9224], [0.0423, 0.7500, 0.0846], [0.9577, 0.2500, 0.9154], [0.5388, 0.2500, 0.0776], [0.6488, 0.7500, 0.2976], [0.3512, 0.2500, 0.7024]]
}

---

{
  "formula": "TeMo4Ir",
  "functional": "PBE",
  "state": "relaxed",
  "formation_energy_uncorrected_ev_per_atom": 0.578,
  "space_group": "F-43m, No. 216",
  "lattice": [[0.0000, 3.7206, 3.7206], [3.7206, 0.0000, 3.7206], [3.7206, 3.7206, 0.0000]],
  "species": ["Mo", "Mo", "Mo", "Mo", "Ir", "Te"],
  "frac_coords": [[0.6252, 0.1245, 0.6252], [0.6252, 0.6252, 0.6252], [0.6252, 0.6252, 0.1245], [0.1245, 0.6252, 0.6252], [0.0000, 0.0000, 0.0000], [0.2500, 0.2500, 0.2500]]
}

---

{
  "formula": "RbIrN2",
  "functional": "PBE",
  "state": "relaxed",
  "e_above_lowest_polymorph_ev_per_atom": 0.779,
  "formation_energy_uncorrected_ev_per_atom": 1.136,
  "space_group": "R-3m, No. 166",
  "lattice": [[-8.0017, 0.4167, -0.1066], [-7.3047, 0.9003, 3.1691], [-7.1407, 3.4951, 1.0034]],
  "species": ["N", "N", "Ir", "Rb"],
  "frac_coords": [[0.0766, 0.0766, 0.0766], [0.9234, 0.9234, 0.9234], [0.0000, 0.0000, 0.0000], [0.5000, 0.5000, 0.5000]]
}

---

{
  "formula": "CuRe2P",
  "functional": "PBE",
  "state": "relaxed",
  "space_group": "P4/mmm, No. 123",
  "formation_enthalpy_0k_ev_per_atom": 0.17,
  "lattice": [[-0.4484, -1.4670, -2.4852], [2.1638, -1.8350, 0.6928], [-4.0935, -3.7191, 2.9339]],
  "species": ["P", "Re", "Re", "Cu"],
  "frac_coords": [[0.5000, 0.5000, 0.7500], [0.0000, 0.0000, 0.9708], [0.0000, 0.0000, 0.5292], [0.5000, 0.5000, 0.2500]]
}

---

V in Å³/cell, matching the order above: 65, 100, 101, 216, 62, 98, 124, 97, 274, 103, 77, 53
Magnetic moment in μB/cell, matching the order above: 0.00, 0.15, 0.00, 0.00, 3.77, 9.12, 0.00, 0.00, 1.60, 0.00, 0.67, 0.00